(1)
A plane-wave DFT calculation with PBE was carried out for a relaxed structure of PRuNF2.

Unit cell a=4.234 b=4.234 c=3.764 alpha=90.00 beta=90.00 gamma=90.00
Space group P4/mmm (No. 123)
Unique sites:
P1 0.000 0.000 0.000 [1 per cell]
Ru1 0.500 0.500 0.500 [1 per cell]
N1 0.500 0.500 0.000 [1 per cell]
F1 0.000 0.500 0.500 [2 per cell]

## Properties
Energy above the most stable polymorph in this dataset (eV per formula unit): 0.00
N(E_F) (states/eV per atom): 0.88
Uncorrected formation energy (meV per atom): 199
Magnetization (μB/f.u.): 1.661


(2)
A plane-wave DFT calculation with PBE was carried out for a relaxed structure of CuGePb2O5.

Unit cell a=3.161 b=16.137 c=10.868 alpha=90.00 beta=90.00 gamma=90.00
Space group Cmc2_1 (No. 36)
Unique sites:
Cu1 0.000 0.194 0.000 [4 per cell]
Ge1 0.000 0.458 0.407 [4 per cell]
Pb1 0.000 0.134 0.281 [4 per cell]
Pb2 0.000 0.140 0.613 [4 per cell]
O1 0.000 0.018 0.989 [4 per cell]
O2 0.000 0.284 0.613 [4 per cell]
O3 0.000 0.344 0.961 [4 per cell]
O4 0.000 0.348 0.392 [4 per cell]
O5 0.000 0.485 0.770 [4 per cell]

## Properties
N(E_F) (states/eV per atom): 0.02
Uncorrected formation energy (meV per atom): -1046
Magnetization (μB/f.u.): 1.015


(3)
A plane-wave DFT calculation with PBE was carried out for a relaxed structure of Li2LaGe2.

Unit cell a=8.079 b=8.079 c=2.987 alpha=90.00 beta=90.00 gamma=90.00
Space group P4/mbm (No. 127)
Unique sites:
Li1 0.114 0.386 0.000 [4 per cell]
La1 0.000 0.000 0.000 [2 per cell]
Ge1 0.177 0.677 0.500 [4 per cell]

## Properties
Energy above the most stable polymorph in this dataset (eV per formula unit): 0.87
N(E_F) (states/eV per atom): 0.41
Magnetization (μB/f.u.): 0.031
ΔH_f (0 K) (eV per atom): -0.43


(4)
A plane-wave DFT calculation with PBE was carried out for a relaxed structure of WSe2Cl.

Unit cell a=3.147 b=4.662 c=13.921 alpha=90.00 beta=90.00 gamma=90.00
Space group Imm2 (No. 44)
Unique sites:
W1 0.000 0.000 0.000 [2 per cell]
Se1 0.000 0.000 0.528 [2 per cell]
Se2 0.000 0.500 0.640 [2 per cell]
Cl1 0.000 0.500 0.359 [2 per cell]

## Properties
Energy above the most stable polymorph in this dataset (eV per formula unit): 1.50
N(E_F) (states/eV per atom): 0.69
Uncorrected formation energy (meV per atom): 51
Magnetization (μB/f.u.): 0.000


(5)
A plane-wave DFT calculation with PBE was carried out for a relaxed structure of Zn3Cu5Au3.

Unit cell a=7.658 b=10.298 c=4.510 alpha=90.00 beta=113.63 gamma=90.00
Space group Cm (No. 8)
Unique sites:
Zn1 0.000 0.000 0.000 [2 per cell]
Zn2 0.188 0.362 0.611 [4 per cell]
Cu1 0.194 0.500 0.100 [2 per cell]
Cu2 0.360 0.135 0.715 [4 per cell]
Cu3 0.493 0.369 0.488 [4 per cell]
Au1 0.171 0.232 0.098 [4 per cell]
Au2 0.388 0.000 0.234 [2 per cell]

## Properties
N(E_F) (states/eV per atom): 0.17
Magnetization (μB/f.u.): 0.000
ΔH_f (0 K) (eV per atom): -0.06


(6)
A plane-wave DFT calculation with PBE was carried out for a relaxed structure of AcZnSi2Pd5.

Unit cell a=4.224 b=4.224 c=9.946 alpha=90.00 beta=90.00 gamma=90.00
Space group P4/mmm (No. 123)
Unique sites:
Ac1 0.000 0.000 0.000 [1 per cell]
Zn1 0.000 0.000 0.500 [1 per cell]
Si1 0.500 0.500 0.237 [2 per cell]
Pd1 0.000 0.500 0.347 [4 per cell]
Pd2 0.500 0.500 0.000 [1 per cell]

## Properties
N(E_F) (states/eV per atom): 0.58
Uncorrected formation energy (meV per atom): -561
Magnetization (μB/f.u.): 0.000


(7)
A plane-wave DFT calculation with PBE was carried out for a relaxed structure of NdGa4Ir2.

Unit cell a=7.520 b=7.520 c=5.647 alpha=90.00 beta=90.00 gamma=90.00
Space group I4/mmm (No. 139)
Unique sites:
Nd1 0.000 0.000 0.000 [2 per cell]
Ga1 0.000 0.241 0.500 [8 per cell]
Ir1 0.000 0.500 0.250 [4 per cell]

## Properties
Energy above the most stable polymorph in this dataset (eV per formula unit): 3.31
N(E_F) (states/eV per atom): 0.65
Magnetization (μB/f.u.): 0.000
ΔH_f (0 K) (eV per atom): -0.15


(8)
A plane-wave DFT calculation with PBE was carried out for a relaxed structure of Li4Hf3ScSe8.

Unit cell a=7.5383 b=7.5383 c=19.6559 alpha=90.00 beta=90.00 gamma=120.00
Space group R-3m (No. 166, hexagonal axes)
Unique sites:
Li1 0.0000 0.0000 0.0000 [3 per cell]
Li2 0.0000 0.5000 0.0000 [9 per cell]
Hf1 0.0000 0.5000 0.5000 [9 per cell]
Sc1 0.0000 0.0000 0.5000 [3 per cell]
Se1 0.0000 0.0000 0.2496 [6 per cell]
Se2 0.0016 0.5008 0.7507 [18 per cell]

## Properties
N(E_F) (states/eV per atom): 0.39
Uncorrected formation energy (meV per atom): -1351
Magnetization (μB/f.u.): 0.000


(9)
A plane-wave DFT calculation with PBE was carried out for a relaxed structure of LiEuInPd.

Unit cell a=6.998 b=6.998 c=6.998 alpha=90.00 beta=90.00 gamma=90.00
Space group F-43m (No. 216)
Unique sites:
Li1 0.000 0.000 0.000 [4 per cell]
Eu1 0.250 0.250 0.750 [4 per cell]
In1 0.250 0.250 0.250 [4 per cell]
Pd1 0.000 0.000 0.500 [4 per cell]

## Properties
N(E_F) (states/eV per atom): 2.32
Magnetization (μB/f.u.): 7.292
ΔH_f (0 K) (eV per atom): -0.46


(10)
A plane-wave DFT calculation with PBE was carried out for a relaxed structure of PuCoRh.

Unit cell a=5.006 b=5.398 c=7.319 alpha=90.00 beta=90.00 gamma=90.00
Space group Imma (No. 74)
Unique sites:
Pu1 0.000 0.250 0.124 [4 per cell]
Co1 0.250 0.250 0.750 [4 per cell]
Rh1 0.000 0.000 0.500 [4 per cell]

## Properties
Energy above the most stable polymorph in this dataset (eV per formula unit): 0.00
N(E_F) (states/eV per atom): 2.74
Magnetization (μB/f.u.): 3.689
ΔH_f (0 K) (eV per atom): -0.34


(11)
A plane-wave DFT calculation with PBE was carried out for a relaxed structure of Y7Tm3Mg.

Unit cell a=6.9935 b=6.9935 c=8.5390 alpha=90.00 beta=90.00 gamma=120.00
Space group P3m1 (No. 156)
Unique sites:
Y1 0.0000 0.0000 0.0000 [1 per cell]
Y2 0.1636 0.3273 0.6657 [3 per cell]
Y3 0.5006 0.0012 0.9965 [3 per cell]
Tm1 0.3302 0.1651 0.3293 [3 per cell]
Mg1 0.6667 0.3333 0.6666 [1 per cell]

## Properties
N(E_F) (states/eV per atom): 1.44
Magnetization (μB/f.u.): 0.000
ΔH_f (0 K) (eV per atom): 0.21


(12)
A plane-wave DFT calculation with PBE was carried out for a relaxed structure of LaTbSbTe.

Unit cell a=4.4989 b=4.4989 c=22.0519 alpha=90.00 beta=90.00 gamma=120.00
Space group R3m (No. 160, hexagonal axes)
Unique sites:
La1 0.0000 0.0000 0.0000 [3 per cell]
Tb1 0.0000 0.0000 0.4938 [3 per cell]
Sb1 0.0000 0.0000 0.7514 [3 per cell]
Te1 0.0000 0.0000 0.2424 [3 per cell]

## Properties
N(E_F) (states/eV per atom): 0.50
Uncorrected formation energy (meV per atom): -1375
Magnetization (μB/f.u.): 0.000


(13)
A plane-wave DFT calculation with PBE was carried out for a relaxed structure of Np2Tl3HgSe6.

Unit cell a=7.266 b=12.760 c=8.006 alpha=90.00 beta=106.23 gamma=90.00
Space group C2/m (No. 12)
Unique sites:
Np1 0.000 0.169 0.000 [4 per cell]
Tl1 0.000 0.000 0.500 [2 per cell]
Tl2 0.000 0.341 0.500 [4 per cell]
Hg1 0.000 0.500 0.000 [2 per cell]
Se1 0.226 0.000 0.191 [4 per cell]
Se2 0.250 0.181 0.785 [8 per cell]

## Properties
N(E_F) (states/eV per atom): 1.54
Uncorrected formation energy (meV per atom): -695
Magnetization (μB/f.u.): 6.973


(14)
A plane-wave DFT calculation with PBE was carried out for a relaxed structure of Cd2AgMo.

Unit cell a=11.201 b=2.767 c=5.362 alpha=90.00 beta=116.34 gamma=90.00
Space group Cm (No. 8)
Unique sites:
Cd1 0.000 0.000 0.000 [2 per cell]
Cd2 0.241 0.000 0.557 [2 per cell]
Ag1 0.487 0.000 0.489 [2 per cell]
Mo1 0.246 0.500 0.053 [2 per cell]

## Properties
Energy above the most stable polymorph in this dataset (eV per formula unit): 0.44
N(E_F) (states/eV per atom): 0.76
Magnetization (μB/f.u.): 0.000
ΔH_f (0 K) (eV per atom): 0.34


(15)
A plane-wave DFT calculation with PBE was carried out for a relaxed structure of Sr5Tl2Pd2.

Unit cell a=17.689 b=8.237 c=8.283 alpha=90.00 beta=90.00 gamma=90.00
Space group Cmce (No. 64)
Unique sites:
Sr1 0.000 0.000 0.000 [4 per cell]
Sr2 0.125 0.173 0.328 [16 per cell]
Tl1 0.219 0.000 0.000 [8 per cell]
Pd1 0.000 0.119 0.620 [8 per cell]

## Properties
N(E_F) (states/eV per atom): 0.37
Magnetization (μB/f.u.): 0.000
ΔH_f (0 K) (eV per atom): -0.45


(16)
A plane-wave DFT calculation with PBE was carried out for a relaxed structure of RbZnCl3.

Unit cell a=6.367 b=7.222 c=8.625 alpha=65.56 beta=85.10 gamma=77.49
Space group P1 (No. 1)
Unique sites:
Rb1 0.000 0.000 0.000 [1 per cell]
Rb2 0.497 0.250 0.495 [1 per cell]
Zn1 0.359 0.502 0.894 [1 per cell]
Zn2 0.857 0.646 0.602 [1 per cell]
Cl1 0.419 0.596 0.100 [1 per cell]
Cl2 0.468 0.172 0.921 [1 per cell]
Cl3 0.475 0.715 0.626 [1 per cell]
Cl4 0.915 0.944 0.397 [1 per cell]
Cl5 0.966 0.343 0.574 [1 per cell]
Cl6 0.977 0.593 0.870 [1 per cell]

## Properties
N(E_F) (states/eV per atom): 0.00
Uncorrected formation energy (meV per atom): -1514
Magnetization (μB/f.u.): 0.000


(17)
A plane-wave DFT calculation with PBE was carried out for a relaxed structure of SmSn2Bi.

Unit cell a=5.2047 b=5.2047 c=23.0018 alpha=90.00 beta=90.00 gamma=120.00
Space group R-3m (No. 166, hexagonal axes)
Unique sites:
Sm1 0.0000 0.0000 0.0000 [3 per cell]
Sn1 0.0000 0.0000 0.3755 [6 per cell]
Bi1 0.0000 0.0000 0.5000 [3 per cell]

## Properties
Energy above the most stable polymorph in this dataset (eV per formula unit): 2.93
N(E_F) (states/eV per atom): 0.61
Magnetization (μB/f.u.): 0.000
ΔH_f (0 K) (eV per atom): 0.30


(18)
A plane-wave DFT calculation with PBE was carried out for a relaxed structure of KScSi2.

Unit cell a=9.096 b=3.707 c=7.791 alpha=90.00 beta=117.36 gamma=90.00
Space group Cm (No. 8)
Unique sites:
K1 0.000 0.000 0.000 [2 per cell]
Sc1 0.169 0.000 0.525 [2 per cell]
Si1 0.342 0.500 0.410 [2 per cell]
Si2 0.492 0.000 0.622 [2 per cell]

## Properties
Energy above the most stable polymorph in this dataset (eV per formula unit): 0.46
N(E_F) (states/eV per atom): 0.27
Uncorrected formation energy (meV per atom): -133
Magnetization (μB/f.u.): 0.000


(19)
A plane-wave DFT calculation with PBE was carried out for a relaxed structure of CaNdGaPt.

Unit cell a=4.317 b=4.065 c=11.373 alpha=90.00 beta=90.00 gamma=90.00
Space group Amm2 (No. 38)
Unique sites:
Ca1 0.000 0.000 0.000 [2 per cell]
Nd1 0.500 0.000 0.288 [2 per cell]
Ga1 0.500 0.000 0.575 [2 per cell]
Pt1 0.000 0.000 0.717 [2 per cell]

## Properties
Energy above the most stable polymorph in this dataset (eV per formula unit): 0.00
N(E_F) (states/eV per atom): 0.79
Magnetization (μB/f.u.): 0.000
ΔH_f (0 K) (eV per atom): -0.79


(20)
A plane-wave DFT calculation with PBE was carried out for a relaxed structure of ZrScMnSi2.

Unit cell a=4.806 b=4.806 c=4.323 alpha=90.00 beta=90.00 gamma=90.00
Space group P4/mmm (No. 123)
Unique sites:
Zr1 0.000 0.000 0.000 [1 per cell]
Sc1 0.500 0.500 0.500 [1 per cell]
Mn1 0.500 0.500 0.000 [1 per cell]
Si1 0.000 0.500 0.500 [2 per cell]

## Properties
N(E_F) (states/eV per atom): 0.74
Uncorrected formation energy (meV per atom): 767
Magnetization (μB/f.u.): 2.791